# HfTiMoRh2 | the Alexandria database | GGA-PBE | relaxed
data_HfTiMoRh2
_chemical_formula_sum 'Hf1 Ti1 Mo1 Rh2'
_cell_length_a 4.487
_cell_length_b 4.614
_cell_length_c 4.487
_cell_angle_alpha 90.00
_cell_angle_beta 90.00
_cell_angle_gamma 90.00
_symmetry_space_group_name_H-M 'P 1'
_symmetry_Int_Tables_number 1
loop_
_symmetry_equiv_pos_as_xyz
'x,y,z'
loop_
_atom_site_label
_atom_site_type_symbol
_atom_site_fract_x
_atom_site_fract_y
_atom_site_fract_z
Rh1 Rh 0.000 0.000 0.500
Rh2 Rh 0.500 0.000 0.000
Mo1 Mo 0.000 0.500 0.000
Hf1 Hf 0.500 0.500 0.500
Ti1 Ti 0.000 0.000 0.000
# - Theoretical density: 9.442 g/cm3
# - Formation enthalpy at 0 K: 437 meV/atom
# - Magnetization: 0.000 μB per atom
# - Volume: 18.6 A^3/atom